No. 1
Density functional theory data (PBE-GGA) for a relaxed structure of Cr2PPt.

Cell: 4.601 4.601 4.601 Å, 133.08 133.08 68.53°
Site moments in Bohr magnetons follow the coordinates.
Atoms (fractional coordinates):
Cr1 0.000 0.000 0.000  1.06
Cr2 0.500 0.500 0.000  1.06
P1 0.250 0.750 0.500  -0.03
Pt1 0.750 0.250 0.500  -0.04

Values from the calculation:
As for the total moment: 2.1 μB per formula unit. Its formation energy is -9 kJ/mol of formula units.

No. 2
Density functional theory data (PBE-GGA) for a relaxed structure of CrPPt2.

Cell: 4.380 4.380 4.380 Å, 60.00 60.00 60.00°
Site moments in Bohr magnetons follow the coordinates.
Atoms (fractional coordinates):
Cr1 0.500 0.500 0.500  2.65
P1 0.750 0.750 0.750  -0.04
Pt1 0.000 0.000 0.000  0.02
Pt2 0.250 0.250 0.250  -0.05

Values from the calculation:
As for the total moment: 2.8 μB per formula unit. Its formation energy is 30 kJ/mol of formula units.

No. 3
Density functional theory data (PBE-GGA) for a relaxed structure of Cr3PPt.

Cell: 4.828 4.828 4.828 Å, 90.00 90.00 90.00°
Site moments in Bohr magnetons follow the coordinates.
Atoms (fractional coordinates):
Cr1 0.000 0.500 0.000  3.57
Cr2 0.000 0.000 0.500  3.58
Cr3 0.500 0.000 0.000  3.85
Pt1 0.000 0.000 0.000  0.16
P1 0.500 0.500 0.500  -0.21

Values from the calculation:
As for the total moment: 12.1 μB per formula unit. Its formation energy is 602 kJ/mol of formula units.

No. 4
Density functional theory data (PBE-GGA) for a relaxed structure of CrPPt2.

Cell: 3.717 3.409 5.256 Å, 68.98 90.00 90.00°
Site moments in Bohr magnetons follow the coordinates.
Atoms (fractional coordinates):
Cr1 0.500 0.250 0.250  2.95
P1 0.500 0.750 0.750  -0.09
Pt1 0.000 0.887 0.983  -0.06
Pt2 0.000 0.613 0.517  -0.06

Values from the calculation:
As for the total moment: 2.9 μB per formula unit. Its formation energy is -46 kJ/mol of formula units.

No. 5
Density functional theory data (PBE-GGA) for a relaxed structure of CrP2Pt.

Cell: 4.255 4.255 4.255 Å, 60.00 60.00 60.00°
Site moments in Bohr magnetons follow the coordinates.
Atoms (fractional coordinates):
Cr1 0.000 0.000 0.000  1.95
Pt1 0.500 0.500 0.500  0.05
P1 0.250 0.250 0.250  -0.04
P2 0.750 0.750 0.750  -0.04

Values from the calculation:
As for the total moment: 2.0 μB per formula unit. Its formation energy is 28 kJ/mol of formula units.

No. 6
Density functional theory data (PBE-GGA) for a relaxed structure of Cr2PPt.

Cell: 3.097 2.902 5.926 Å, 90.00 90.00 90.00°
Site moments in Bohr magnetons follow the coordinates.
Atoms (fractional coordinates):
Cr1 0.000 0.000 0.021  2.38
Cr2 0.500 0.500 0.274  -0.59
P1 0.000 0.000 0.449  0.02
Pt1 0.500 0.500 0.756  0.12

Values from the calculation:
As for the total moment: 2.1 μB per formula unit. Its formation energy is -28 kJ/mol of formula units.

No. 7
Density functional theory data (PBE-GGA) for a relaxed structure of CrPPt2.

Cell: 8.217 8.217 8.217 Å, 20.70 20.70 20.70°
Site moments in Bohr magnetons follow the coordinates.
Atoms (fractional coordinates):
Cr1 0.750 0.750 0.750  3.23
P1 0.250 0.250 0.250  0.01
Pt1 0.994 0.994 0.994  0.14
Pt2 0.506 0.506 0.506  0.14

Values from the calculation:
As for the total moment: 3.8 μB per formula unit. Its formation energy is 18 kJ/mol of formula units.

No. 8
Density functional theory data (PBE-GGA) for a relaxed structure of Cr3PPt.

Cell: 4.228 4.228 4.228 Å, 90.00 90.00 90.00°
Site moments in Bohr magnetons follow the coordinates.
Atoms (fractional coordinates):
Cr1 0.000 0.500 0.000  1.83
Cr2 0.000 0.000 0.500  1.97
Cr3 0.500 0.000 0.000  1.53
Pt1 0.500 0.500 0.500  0.10
P1 0.000 0.000 0.000  -0.10

Values from the calculation:
As for the total moment: 5.6 μB per formula unit. Its formation energy is 210 kJ/mol of formula units.

No. 9
Density functional theory data (PBE-GGA) for a relaxed structure of Cr2PPt.

Cell: 4.959 4.959 4.959 Å, 145.02 129.94 62.52°
Site moments in Bohr magnetons follow the coordinates.
Atoms (fractional coordinates):
Cr1 0.002 0.002 0.000  2.10
Cr2 0.716 0.216 0.500  -1.64
P1 0.503 0.503 0.000  -0.02
Pt1 0.280 0.780 0.500  -0.02

Values from the calculation:
As for the total moment: 0.5 μB per formula unit. Its formation energy is -58 kJ/mol of formula units.

No. 10
Density functional theory data (PBE-GGA) for a relaxed structure of Rb2CrPPt.

Cell: 6.533 4.482 6.533 Å, 90.00 90.00 90.00°
Site moments in Bohr magnetons follow the coordinates.
Atoms (fractional coordinates):
Cr1 0.000 0.500 0.000  3.53
Rb1 0.000 0.000 0.500  0.00
Rb2 0.500 0.000 0.000  0.00
Pt1 0.500 0.500 0.500  0.10
P1 0.000 0.000 0.000  -0.26

Values from the calculation:
As for the total moment: 3.8 μB per formula unit. Its formation energy is 253 kJ/mol of formula units.

No. 11
Density functional theory data (PBE-GGA) for a relaxed structure of CrTePPt2.

Cell: 4.586 4.566 4.586 Å, 90.00 90.00 90.00°
Site moments in Bohr magnetons follow the coordinates.
Atoms (fractional coordinates):
Cr1 0.000 0.500 0.000  3.15
Te1 0.500 0.500 0.500  -0.08
Pt1 0.000 0.000 0.500  -0.09
Pt2 0.500 0.000 0.000  -0.10
P1 0.000 0.000 0.000  -0.12

Values from the calculation:
The value obtained for the energy relative to the elements, uncorrected is 150 meV/atom. As for the total moment: 3.0 μB per formula unit.

No. 12
Density functional theory data (PBE-GGA) for a relaxed structure of PuCrP3.

Cell: 5.358 5.152 11.657 Å, 90.00 90.00 90.00°
Site moments in Bohr magnetons follow the coordinates.
Atoms (fractional coordinates):
Pu1 0.750 0.500 0.688  4.98
Pu2 0.250 0.500 0.312  4.98
Pu3 0.750 0.000 0.312  4.98
Pu4 0.250 0.000 0.688  4.98
Cr1 0.500 0.250 0.079  -0.77
Cr2 0.000 0.750 0.921  -0.77
Cr3 0.500 0.750 0.921  -0.77
Cr4 0.000 0.250 0.079  -0.77
P1 0.000 0.250 0.499  -0.07
P2 0.500 0.750 0.501  -0.07
P3 0.000 0.750 0.501  -0.07
P4 0.500 0.250 0.499  -0.07
P5 0.250 0.122 0.926  0.03
P6 0.750 0.878 0.074  0.03
P7 0.250 0.622 0.074  0.03
P8 0.750 0.378 0.926  0.03
P9 0.250 0.493 0.796  -0.02
P10 0.750 0.507 0.204  -0.02
P11 0.250 0.993 0.204  -0.02
P12 0.750 0.007 0.796  -0.02

Values from the calculation:
As for the total moment: 4.4 μB per formula unit. Its formation energy is -326 kJ/mol of formula units.

No. 13
Density functional theory data (PBE-GGA) for a relaxed structure of RbCrP2.

Cell: 4.871 4.871 4.871 Å, 60.00 60.00 60.00°
Site moments in Bohr magnetons follow the coordinates.
Atoms (fractional coordinates):
Cr1 0.000 0.000 0.000  3.45
Rb1 0.500 0.500 0.500  -0.01
P1 0.250 0.250 0.250  -0.19
P2 0.750 0.750 0.750  -0.19

Values from the calculation:
As for the total moment: 3.1 μB per formula unit. Its formation energy is 281 kJ/mol of formula units.

No. 14
Density functional theory data (PBE-GGA) for a relaxed structure of RbCrP3.

Cell: 4.638 4.638 4.638 Å, 90.00 90.00 90.00°
Atoms (fractional coordinates):
Cr1 0.000 0.000 0.000
Rb1 0.500 0.500 0.500
P1 0.000 0.500 0.000
P2 0.000 0.000 0.500
P3 0.500 0.000 0.000

Values from the calculation:
As for the total moment: 0.0 μB per formula unit. Its formation energy is 105 kJ/mol of formula units.

No. 15
Density functional theory data (PBE-GGA) for a relaxed structure of RbCrP2.

Cell: 5.977 5.977 7.506 Å, 66.54 66.54 90.00°
Site moments in Bohr magnetons follow the coordinates.
Atoms (fractional coordinates):
Cr1 0.500 0.500 0.000  1.04
Cr2 0.250 0.750 0.500  1.04
Rb1 0.000 0.000 0.000  0.00
Rb2 0.750 0.250 0.500  0.00
P1 0.375 0.125 0.250  -0.09
P2 0.375 0.625 0.250  -0.08
P3 0.375 0.625 0.750  -0.09
P4 0.875 0.625 0.750  -0.09

Values from the calculation:
As for the total moment: 1.0 μB per formula unit. Its formation energy is -92 kJ/mol of formula units.

No. 16
Density functional theory data (PBE-GGA) for a relaxed structure of RbCrP3.

Cell: 5.148 5.148 5.148 Å, 90.00 90.00 90.00°
Site moments in Bohr magnetons follow the coordinates.
Atoms (fractional coordinates):
Cr1 0.500 0.500 0.500  -0.62
Rb1 0.000 0.000 0.000  -0.01
P1 0.000 0.500 0.000  -0.01
P2 0.000 0.000 0.500  0.01
P3 0.500 0.000 0.000  -0.01

Values from the calculation:
As for the total moment: 0.7 μB per formula unit. Its formation energy is 1338 kJ/mol of formula units.

No. 17
Density functional theory data (PBE-GGA) for a relaxed structure of RbCrP2S8.

Cell: 5.869 5.869 9.898 Å, 90.00 90.00 120.00°
Site moments in Bohr magnetons follow the coordinates.
Atoms (fractional coordinates):
Rb1 0.000 0.000 0.000  0.00
Cr1 0.000 0.000 0.500  1.99
P1 0.667 0.333 0.304  0.02
P2 0.333 0.667 0.696  0.02
S1 0.333 0.667 0.897  -0.06
S2 0.329 0.337 0.369  -0.12
S3 0.663 0.992 0.369  -0.12
S4 0.667 0.333 0.103  -0.06
S5 0.337 0.008 0.631  -0.12
S6 0.671 0.663 0.631  -0.12
S7 0.992 0.329 0.631  -0.12
S8 0.008 0.671 0.369  -0.12

Values from the calculation:
The value obtained for the energy relative to the elements, uncorrected is -351 meV/atom. As for the total moment: 1.0 μB per formula unit.

No. 18
Density functional theory data (PBE-GGA) for a relaxed structure of RbCrPS2.

Cell: 4.742 4.742 4.531 Å, 90.00 90.00 90.00°
Atoms (fractional coordinates):
Cr1 0.000 0.000 0.000
S1 0.000 0.500 0.000
S2 0.500 0.000 0.000
Rb1 0.500 0.500 0.500
P1 0.000 0.000 0.500

Values from the calculation:
The value obtained for the energy relative to the elements, uncorrected is -131 meV/atom. As for the total moment: 0.0 μB per formula unit.

No. 19
Density functional theory data (PBE-GGA) for a relaxed structure of RbCrPS2.

Cell: 5.795 5.795 6.013 Å, 90.00 90.00 90.00°
Site moments in Bohr magnetons follow the coordinates.
Atoms (fractional coordinates):
Cr1 0.500 0.500 0.500  -4.33
S1 0.000 0.500 0.000  0.73
S2 0.500 0.000 0.000  0.73
Rb1 0.000 0.000 0.000  0.12
P1 0.000 0.000 0.500  1.06

Values from the calculation:
The value obtained for the energy relative to the elements, uncorrected is 1699 meV/atom. As for the total moment: 0.0 μB per formula unit.

No. 20
Density functional theory data (PBE-GGA) for a relaxed structure of RbSrCr2P.

Cell: 5.834 5.834 7.073 Å, 90.00 90.00 90.00°
Site moments in Bohr magnetons follow the coordinates.
Atoms (fractional coordinates):
Sr1 0.000 0.000 0.000  0.19
P1 0.500 0.500 0.500  -0.61
Rb1 0.000 0.000 0.500  0.01
Cr1 0.000 0.500 0.000  4.24
Cr2 0.500 0.000 0.000  4.24

Values from the calculation:
As for the total moment: 9.5 μB per formula unit. Its formation energy is 923 kJ/mol of formula units.